# Re3W | the Alexandria database | PBE-GGA | optimized geometry
# electronic total energy: -12.44 eV per atom
# energy of formation from the pure elements: 131 meV/atom
# offset from the most stable computed form: 32 meV per atom
data_Re3W
_space_group_name_H-M_alt 'I 4/m m m'
_space_group_IT_number 139
_space_group_name_Hall '-I 4 2'
_cell_length_a 3.939
_cell_length_b 3.939
_cell_length_c 7.914
_cell_angle_alpha 90.00
_cell_angle_beta 90.00
_cell_angle_gamma 90.00
loop_
_atom_site_label
_atom_site_fract_x
_atom_site_fract_y
_atom_site_fract_z
Re1 0.000 0.000 0.000
Re2 0.000 0.500 0.250
W1 0.000 0.000 0.500